Entry 1:
! PBE-GGA Cd4In3Ag2, optimized geometry; values from VASP
! Energy of formation = 0.016 eV/atom
! Symmetry = C2/c (15)
! Calculated density = 7.980 g cm⁻³
! Crystal system = monoclinic
&SYSTEM
  ibrav = 0, nat = 18, ntyp = 3
/
ATOMIC_SPECIES
Ag 107.87 Ag.upf
In 114.82 In.upf
Cd 112.41 Cd.upf
CELL_PARAMETERS angstrom
7.556 -0.683 -0.829
-0.803 7.545 -0.828
-0.154 -0.157 7.481
ATOMIC_POSITIONS crystal
Ag 0.431 0.797 0.925
Ag 0.569 0.203 0.075
Ag 0.203 0.569 0.575
Ag 0.797 0.431 0.425
In 0.700 0.300 0.750
In 0.005 0.655 0.863
In 0.655 0.005 0.363
In 0.995 0.345 0.137
In 0.345 0.995 0.637
In 0.300 0.700 0.250
Cd 0.195 0.033 0.075
Cd 0.805 0.967 0.925
Cd 0.967 0.805 0.425
Cd 0.680 0.606 0.113
Cd 0.320 0.394 0.887
Cd 0.033 0.195 0.575
Cd 0.606 0.680 0.613
Cd 0.394 0.320 0.387

---

Entry 2:
! PBE-GGA Cd5Ag2Au2, optimized geometry; values from VASP
! Energy of formation = -0.120 eV/atom
! Symmetry = C2/m (12)
! Calculated density = 10.467 g cm⁻³
! Crystal system = monoclinic
&SYSTEM
  ibrav = 0, nat = 9, ntyp = 3
/
ATOMIC_SPECIES
Cd 112.41 Cd.upf
Au 196.97 Au.upf
Ag 107.87 Ag.upf
CELL_PARAMETERS angstrom
-1.749 -3.964 1.739
-3.384 -0.531 -4.613
7.854 -1.306 -1.346
ATOMIC_POSITIONS crystal
Cd 0.411 0.239 0.822
Cd 0.589 0.761 0.178
Cd 0.186 0.588 0.371
Cd 0.000 0.000 0.000
Cd 0.814 0.412 0.629
Au 0.393 0.718 0.787
Au 0.607 0.282 0.213
Ag 0.203 0.101 0.406
Ag 0.797 0.899 0.594

---

Entry 3:
! PBE-GGA PuU2Os, optimized geometry; values from VASP
! Energy of formation = 0.058 eV/atom
! Symmetry = P4/mmm (123)
! Calculated density = 19.509 g cm⁻³
! Crystal system = tetragonal
&SYSTEM
  ibrav = 0, nat = 4, ntyp = 3
/
ATOMIC_SPECIES
Os 190.23 Os.upf
Pu 244.00 Pu.upf
U 238.03 U.upf
CELL_PARAMETERS angstrom
3.094 0.000 0.000
0.000 5.005 0.000
0.000 0.000 5.005
ATOMIC_POSITIONS crystal
Os 0.500 0.500 0.500
Pu 0.500 0.000 0.000
U 0.000 0.500 0.000
U 0.000 0.000 0.500

---

Entry 4:
! PBE-GGA Ni2GeIrPt, optimized geometry; values from VASP
! Energy of formation = 0.849 eV/atom
! Symmetry = P4/mmm (123)
! Calculated density = 11.645 g cm⁻³
! Crystal system = tetragonal
&SYSTEM
  ibrav = 0, nat = 5, ntyp = 4
/
ATOMIC_SPECIES
Ni 58.69 Ni.upf
Pt 195.08 Pt.upf
Ge 72.64 Ge.upf
Ir 192.22 Ir.upf
CELL_PARAMETERS angstrom
4.257 0.000 0.000
0.000 4.542 0.000
0.000 0.000 4.257
ATOMIC_POSITIONS crystal
Ni 0.000 0.000 0.500
Ni 0.500 0.000 0.000
Pt 0.500 0.500 0.500
Ge 0.000 0.000 0.000
Ir 0.000 0.500 0.000

---

| no. | total moment (Bohr magnetons per cell) |
| --- | --- |
| 1 | 0.00 |
| 2 | 0.00 |
| 3 | 1.49 |
| 4 | 0.75 |